[1]
# PBE Al3AsW, relaxed
data_Al3AsW
_chemical_formula_sum 'Al3 As1 W1'
_space_group_name_H-M_alt 'P m -3 m'
_space_group_IT_number 221
_space_group_name_Hall '-P 4 2 3'
_cell_length_a 4.877
_cell_length_b 4.877
_cell_length_c 4.877
_cell_angle_alpha 90.00
_cell_angle_beta 90.00
_cell_angle_gamma 90.00
loop_
_atom_site_label
_atom_site_fract_x
_atom_site_fract_y
_atom_site_fract_z
_atom_site_occupancy
Al1 0.000 0.000 0.500 1
As1 0.500 0.500 0.500 1
W1 0.000 0.000 0.000 1
# Spin magnetization: 0.00 μB per cell
# ΔE to the lowest computed polymorph: 0 meV per atom
# E_form: 966 meV/atom


[2]
# PBE KSBrN2, relaxed
data_KSBrN2
_chemical_formula_sum 'K1 S1 Br1 N2'
_space_group_name_H-M_alt 'P 4/m m m'
_space_group_IT_number 123
_space_group_name_Hall '-P 4 2'
_cell_length_a 5.456
_cell_length_b 5.456
_cell_length_c 6.130
_cell_angle_alpha 90.00
_cell_angle_beta 90.00
_cell_angle_gamma 90.00
loop_
_atom_site_label
_atom_site_fract_x
_atom_site_fract_y
_atom_site_fract_z
_atom_site_occupancy
K1 0.000 0.000 0.000 1
S1 0.000 0.000 0.500 1
Br1 0.500 0.500 0.500 1
N1 0.000 0.500 0.000 1
# Spin magnetization: 8.03 μB per cell
# ΔE_f (raw): 2092 meV per atom
# ΔE to the lowest computed polymorph: 476 meV per atom


[3]
# PBE ZrTlP2, relaxed
data_ZrTlP2
_chemical_formula_sum 'Zr4 Tl4 P8'
_space_group_name_H-M_alt 'F -4 3 m'
_space_group_IT_number 216
_space_group_name_Hall 'F -4 2 3'
_cell_length_a 6.822
_cell_length_b 6.822
_cell_length_c 6.822
_cell_angle_alpha 90.00
_cell_angle_beta 90.00
_cell_angle_gamma 90.00
loop_
_atom_site_label
_atom_site_fract_x
_atom_site_fract_y
_atom_site_fract_z
_atom_site_occupancy
Zr1 0.000 0.000 0.000 1
Tl1 0.250 0.250 0.750 1
P1 0.000 0.000 0.500 1
P2 0.250 0.250 0.250 1
# Spin magnetization: 0.00 μB per cell
# ΔE to the lowest computed polymorph: 864 meV per atom
# E_form: 353 meV/atom


[4]
# PBE TbPrF, relaxed
data_TbPrF
_chemical_formula_sum 'Tb1 Pr1 F1'
_space_group_name_H-M_alt 'P 3 m 1'
_space_group_IT_number 156
_cell_length_a 3.8197
_cell_length_b 3.8197
_cell_length_c 5.7432
_cell_angle_alpha 90.00
_cell_angle_beta 90.00
_cell_angle_gamma 120.00
loop_
_space_group_symop_operation_xyz
'x,y,z'
'-y,x-y,z'
'-x+y,-x,z'
'-y,-x,z'
'-x+y,y,z'
'x,x-y,z'
loop_
_atom_site_label
_atom_site_fract_x
_atom_site_fract_y
_atom_site_fract_z
_atom_site_occupancy
Tb1 0.0000 0.0000 0.0000 1
Pr1 0.6667 0.3333 0.5016 1
F1 0.3333 0.6667 0.7759 1
# Spin magnetization: 0.00 μB per cell
# ΔE_f (raw): -1541 meV per atom


[5]
# PBE PmNdPuPb, relaxed
data_PmNdPuPb
_chemical_formula_sum 'Pm4 Nd4 Pu4 Pb4'
_space_group_name_H-M_alt 'F -4 3 m'
_space_group_IT_number 216
_space_group_name_Hall 'F -4 2 3'
_cell_length_a 7.868
_cell_length_b 7.868
_cell_length_c 7.868
_cell_angle_alpha 90.00
_cell_angle_beta 90.00
_cell_angle_gamma 90.00
loop_
_atom_site_label
_atom_site_fract_x
_atom_site_fract_y
_atom_site_fract_z
_atom_site_occupancy
Pm1 0.000 0.000 0.000 1
Nd1 0.250 0.250 0.250 1
Pu1 0.000 0.000 0.500 1
Pb1 0.250 0.250 0.750 1
# Spin magnetization: 29.14 μB per cell
# E_form: 14 meV/atom


[6]
# PBE ThTl2P2Pd7, relaxed
data_ThTl2P2Pd7
_chemical_formula_sum 'Th2 Tl4 P4 Pd14'
_space_group_name_H-M_alt 'C 1 2/m 1'
_space_group_IT_number 12
_cell_length_a 5.906
_cell_length_b 5.960
_cell_length_c 13.558
_cell_angle_alpha 90.00
_cell_angle_beta 102.50
_cell_angle_gamma 90.00
loop_
_space_group_symop_operation_xyz
'x,y,z'
'-x,-y,-z'
'-x,y,-z'
'x,-y,z'
'x+1/2,y+1/2,z'
'-x+1/2,-y+1/2,-z'
'-x+1/2,y+1/2,-z'
'x+1/2,-y+1/2,z'
loop_
_atom_site_label
_atom_site_fract_x
_atom_site_fract_y
_atom_site_fract_z
_atom_site_occupancy
Th1 0.000 0.000 0.000 1
Tl1 0.105 0.000 0.381 1
P1 0.120 0.500 0.251 1
Pd1 0.000 0.500 0.000 1
Pd2 0.117 0.500 0.421 1
Pd3 0.167 0.247 0.840 1
# Spin magnetization: 0.00 μB per cell
# E_form: -449 meV/atom


[7]
# PBE Ba5Mg2Hg, relaxed
data_Ba5Mg2Hg
_chemical_formula_sum 'Ba10 Mg4 Hg2'
_space_group_name_H-M_alt 'P b a m'
_space_group_IT_number 55
_cell_length_a 7.862
_cell_length_b 15.021
_cell_length_c 6.129
_cell_angle_alpha 90.00
_cell_angle_beta 90.00
_cell_angle_gamma 90.00
loop_
_space_group_symop_operation_xyz
'x,y,z'
'-x,-y,-z'
'-x,-y,z'
'x,y,-z'
'x+1/2,-y+1/2,-z'
'-x+1/2,y+1/2,z'
'-x+1/2,y+1/2,-z'
'x+1/2,-y+1/2,z'
loop_
_atom_site_label
_atom_site_fract_x
_atom_site_fract_y
_atom_site_fract_z
_atom_site_occupancy
Ba1 0.000 0.000 0.000 1
Ba2 0.128 0.281 0.000 1
Ba3 0.163 0.601 0.500 1
Mg1 0.136 0.860 0.500 1
Hg1 0.000 0.500 0.000 1
# Spin magnetization: 0.00 μB per cell
# E_form: -135 meV/atom


[8]
# PBE CsRb6Hg3, relaxed
data_CsRb6Hg3
_chemical_formula_sum 'Cs4 Rb24 Hg12'
_space_group_name_H-M_alt 'C m c 21'
_space_group_IT_number 36
_cell_length_a 14.619
_cell_length_b 17.997
_cell_length_c 9.584
_cell_angle_alpha 90.00
_cell_angle_beta 90.00
_cell_angle_gamma 90.00
loop_
_space_group_symop_operation_xyz
'x,y,z'
'-x,-y,z+1/2'
'-x,y,z'
'x,-y,z+1/2'
'x+1/2,y+1/2,z'
'-x+1/2,-y+1/2,z+1/2'
'-x+1/2,y+1/2,z'
'x+1/2,-y+1/2,z+1/2'
loop_
_atom_site_label
_atom_site_fract_x
_atom_site_fract_y
_atom_site_fract_z
_atom_site_occupancy
Cs1 0.000 0.217 0.000 1
Rb1 0.000 0.019 0.635 1
Rb2 0.000 0.334 0.485 1
Rb3 0.176 0.458 0.822 1
Rb4 0.248 0.196 0.689 1
Hg1 0.000 0.420 0.121 1
Hg2 0.105 0.151 0.360 1
# Spin magnetization: 0.00 μB per cell
# E_form: -131 meV/atom